Record 1
NiAg2W | PBE | optimized geometry

abc: 4.856 4.856 2.727
angles: 90.00 90.00 90.00
Fractional positions:
Ni: 0.500 0.000 0.500
Ag: 0.500 0.500 0.000
Ag: 0.000 0.000 0.000
W: 0.000 0.500 0.500

Summary:
- Formation energy from the elements: 311 kJ/mol of formula units
- Excess energy over the best structure of this formula in the dataset: 0.549 eV per atom


Record 2
Ni2AgW | PBE | optimized geometry

abc: 2.692 2.692 7.640
angles: 90.00 90.00 89.98
Fractional positions:
Ni: 0.500 0.500 0.235
Ni: 0.000 0.000 0.026
Ag: 0.500 0.500 0.769
W: 0.000 0.000 0.470

Summary:
- Formation energy from the elements: 109 kJ/mol of formula units
- Excess energy over the best structure of this formula in the dataset: 0.175 eV per atom


Record 3
Ni2AgW | PBE | optimized geometry

abc: 8.906 8.906 8.906
angles: 17.64 17.64 17.64
Fractional positions:
Ni: 0.996 0.996 0.996
Ni: 0.504 0.504 0.504
W: 0.250 0.250 0.250
Ag: 0.750 0.750 0.750

Summary:
- Formation energy from the elements: 84 kJ/mol of formula units
- Excess energy over the best structure of this formula in the dataset: 0.112 eV per atom